Here is crystalline NbAl2Mo at its relaxed geometry from OQMD. Energies are from PBE-GGA.

VASP energy   -7.268 eV/atom

abc: 6.3435 6.3435 6.3435
angles: 90.00 90.00 90.00
Space group F-43m (No. 216)
One atom of each set of equivalent atoms:
1 Nb 0.0000 0.0000 0.0000
2 Al 0.0000 0.0000 0.5000
3 Al 0.2500 0.2500 0.7500
4 Mo 0.2500 0.2500 0.2500



Here is crystalline NbAlNiMo at its relaxed geometry from OQMD. Energies are from PBE-GGA.

VASP energy   -7.679 eV/atom
Energy above the lowest structure with this stoichiometry   0.000 eV/atom

abc: 6.2036 6.2036 6.2036
angles: 90.00 90.00 90.00
Space group F-43m (No. 216)
One atom of each set of equivalent atoms:
1 Nb 0.0000 0.0000 0.0000
2 Al 0.0000 0.0000 0.5000
3 Ni 0.2500 0.2500 0.7500
4 Mo 0.2500 0.2500 0.2500



Here is crystalline AlNi2Mo at its relaxed geometry from OQMD. Energies are from PBE-GGA.

VASP energy   -6.543 eV/atom

abc: 5.8845 5.8845 5.8845
angles: 90.00 90.00 90.00
Space group F-43m (No. 216)
One atom of each set of equivalent atoms:
1 Al 0.0000 0.0000 0.0000
2 Ni 0.0000 0.0000 0.5000
3 Ni 0.2500 0.2500 0.7500
4 Mo 0.2500 0.2500 0.2500



Here is crystalline AlNiMoPd at its relaxed geometry from OQMD. Energies are from PBE-GGA.

VASP energy   -6.465 eV/atom
Energy above the lowest structure with this stoichiometry   0.000 eV/atom

abc: 6.1054 6.1054 6.1054
angles: 90.00 90.00 90.00
Space group F-43m (No. 216)
One atom of each set of equivalent atoms:
1 Al 0.0000 0.0000 0.0000
2 Ni 0.2500 0.2500 0.2500
3 Mo 0.0000 0.0000 0.5000
4 Pd 0.2500 0.2500 0.7500



Here is crystalline AlReNiMo at its relaxed geometry from OQMD. Energies are from PBE-GGA.

VASP energy   -8.198 eV/atom

abc: 6.0701 6.0701 6.0701
angles: 90.00 90.00 90.00
Space group F-43m (No. 216)
One atom of each set of equivalent atoms:
1 Al 0.0000 0.0000 0.0000
2 Re 0.0000 0.0000 0.5000
3 Ni 0.2500 0.2500 0.2500
4 Mo 0.2500 0.2500 0.7500



Here is crystalline AlNiMoW at its relaxed geometry from OQMD. Energies are from PBE-GGA.

VASP energy   -8.305 eV/atom

abc: 6.1326 6.1326 6.1326
angles: 90.00 90.00 90.00
Space group F-43m (No. 216)
One atom of each set of equivalent atoms:
1 Al 0.0000 0.0000 0.0000
2 Ni 0.2500 0.2500 0.2500
3 Mo 0.2500 0.2500 0.7500
4 W 0.0000 0.0000 0.5000



Here is crystalline AlZnNiMo at its relaxed geometry from OQMD. Energies are from PBE-GGA.

VASP energy   -5.344 eV/atom

abc: 6.0423 6.0423 6.0423
angles: 90.00 90.00 90.00
Space group F-43m (No. 216)
One atom of each set of equivalent atoms:
1 Al 0.0000 0.0000 0.0000
2 Zn 0.0000 0.0000 0.5000
3 Ni 0.2500 0.2500 0.2500
4 Mo 0.2500 0.2500 0.7500



Here is crystalline NpAlMo at its relaxed geometry from OQMD. Energies are from PBE-GGA.

VASP energy   -8.629 eV/atom
Energy above the lowest structure with this stoichiometry   0.000 eV/atom

abc: 6.2960 6.2960 6.2960
angles: 90.00 90.00 90.00
Space group F-43m (No. 216)
One atom of each set of equivalent atoms:
1 Np 0.0000 0.0000 0.0000
2 Al 0.0000 0.0000 0.5000
3 Mo 0.2500 0.2500 0.7500



Here is crystalline AlMo2Os at its relaxed geometry from OQMD. Energies are from PBE-GGA.

VASP energy   -9.262 eV/atom

abc: 6.2180 6.2180 6.2180
angles: 90.00 90.00 90.00
Space group F-43m (No. 216)
One atom of each set of equivalent atoms:
1 Al 0.0000 0.0000 0.0000
2 Mo 0.0000 0.0000 0.5000
3 Mo 0.2500 0.2500 0.7500
4 Os 0.2500 0.2500 0.2500



Here is crystalline AlMoOs2 at its relaxed geometry from OQMD. Energies are from PBE-GGA.

VASP energy   -9.147 eV/atom

abc: 6.1723 6.1723 6.1723
angles: 90.00 90.00 90.00
Space group F-43m (No. 216)
One atom of each set of equivalent atoms:
1 Al 0.0000 0.0000 0.0000
2 Mo 0.2500 0.2500 0.2500
3 Os 0.0000 0.0000 0.5000
4 Os 0.2500 0.2500 0.7500



Here is crystalline PaAlMo at its relaxed geometry from OQMD. Energies are from PBE-GGA.

VASP energy   -6.986 eV/atom
Energy above the lowest structure with this stoichiometry   0.841 eV/atom

abc: 6.5314 6.5314 6.5314
angles: 90.00 90.00 90.00
Space group F-43m (No. 216)
One atom of each set of equivalent atoms:
1 Pa 0.0000 0.0000 0.0000
2 Al 0.2500 0.2500 0.7500
3 Mo 0.2500 0.2500 0.2500



Here is crystalline PaAlMo at its relaxed geometry from OQMD. Energies are from PBE-GGA.

VASP energy   -7.827 eV/atom
Energy above the lowest structure with this stoichiometry   0.000 eV/atom

abc: 6.4021 6.4021 6.4021
angles: 90.00 90.00 90.00
Space group F-43m (No. 216)
One atom of each set of equivalent atoms:
1 Pa 0.0000 0.0000 0.0000
2 Al 0.0000 0.0000 0.5000
3 Mo 0.2500 0.2500 0.7500



Here is crystalline Al2MoPb at its relaxed geometry from OQMD. Energies are from PBE-GGA.

VASP energy   -4.847 eV/atom

abc: 6.7012 6.7012 6.7012
angles: 90.00 90.00 90.00
Space group F-43m (No. 216)
One atom of each set of equivalent atoms:
1 Al 0.0000 0.0000 0.0000
2 Al 0.2500 0.2500 0.2500
3 Mo 0.2500 0.2500 0.7500
4 Pb 0.0000 0.0000 0.5000



Here is crystalline AlMoPb2 at its relaxed geometry from OQMD. Energies are from PBE-GGA.

VASP energy   -4.681 eV/atom

abc: 7.2181 7.2181 7.2181
angles: 90.00 90.00 90.00
Space group F-43m (No. 216)
One atom of each set of equivalent atoms:
1 Al 0.0000 0.0000 0.0000
2 Mo 0.2500 0.2500 0.2500
3 Pb 0.0000 0.0000 0.5000
4 Pb 0.2500 0.2500 0.7500



Here is crystalline Al2MoPd at its relaxed geometry from OQMD. Energies are from PBE-GGA.

VASP energy   -5.933 eV/atom

abc: 6.2780 6.2780 6.2780
angles: 90.00 90.00 90.00
Space group F-43m (No. 216)
One atom of each set of equivalent atoms:
1 Al 0.0000 0.0000 0.0000
2 Al 0.2500 0.2500 0.2500
3 Mo 0.2500 0.2500 0.7500
4 Pd 0.0000 0.0000 0.5000



Here is crystalline AlMo2Pd at its relaxed geometry from OQMD. Energies are from PBE-GGA.

VASP energy   -7.716 eV/atom

abc: 6.2650 6.2650 6.2650
angles: 90.00 90.00 90.00
Space group F-43m (No. 216)
One atom of each set of equivalent atoms:
1 Al 0.0000 0.0000 0.0000
2 Mo 0.0000 0.0000 0.5000
3 Mo 0.2500 0.2500 0.7500
4 Pd 0.2500 0.2500 0.2500



Here is crystalline AlMoPd at its relaxed geometry from OQMD. Energies are from PBE-GGA.

VASP energy   -6.432 eV/atom
Energy above the lowest structure with this stoichiometry   0.000 eV/atom

abc: 5.9682 5.9682 5.9682
angles: 90.00 90.00 90.00
Space group F-43m (No. 216)
One atom of each set of equivalent atoms:
1 Al 0.0000 0.0000 0.0000
2 Mo 0.0000 0.0000 0.5000
3 Pd 0.2500 0.2500 0.2500



Here is crystalline PmAlMo at its relaxed geometry from OQMD. Energies are from PBE-GGA.

VASP energy   -5.171 eV/atom
Energy above the lowest structure with this stoichiometry   0.616 eV/atom

abc: 6.7407 6.7407 6.7407
angles: 90.00 90.00 90.00
Space group F-43m (No. 216)
One atom of each set of equivalent atoms:
1 Pm 0.0000 0.0000 0.0000
2 Al 0.2500 0.2500 0.7500
3 Mo 0.2500 0.2500 0.2500



Here is crystalline PmAlMo at its relaxed geometry from OQMD. Energies are from PBE-GGA.

VASP energy   -5.787 eV/atom
Energy above the lowest structure with this stoichiometry   0.000 eV/atom

abc: 6.5572 6.5572 6.5572
angles: 90.00 90.00 90.00
Space group F-43m (No. 216)
One atom of each set of equivalent atoms:
1 Pm 0.0000 0.0000 0.0000
2 Al 0.0000 0.0000 0.5000
3 Mo 0.2500 0.2500 0.7500



Here is crystalline Al2MoPt at its relaxed geometry from OQMD. Energies are from PBE-GGA.

VASP energy   -6.224 eV/atom

abc: 6.2918 6.2918 6.2918
angles: 90.00 90.00 90.00
Space group F-43m (No. 216)
One atom of each set of equivalent atoms:
1 Al 0.0000 0.0000 0.0000
2 Al 0.2500 0.2500 0.2500
3 Mo 0.2500 0.2500 0.7500
4 Pt 0.0000 0.0000 0.5000